First-principles (PBE-GGA) data for a relaxed structure of DyCd2Pt2, as listed in Alexandria via LeMat-Bulk.

```
DyCd2Pt2
1.0
-4.577 0.552 -0.335
0.304 -0.771 -5.431
-1.246 -7.925 3.957
Cd Pt Dy
4 4 2
direct
0.750 0.209 0.130
0.250 0.387 0.553
0.250 0.791 0.870
0.750 0.613 0.447
0.250 0.342 0.981
0.750 0.658 0.019
0.250 0.903 0.580
0.750 0.097 0.420
0.250 0.835 0.235
0.750 0.165 0.765
```

Computed properties:
E_form: -0.65 eV per atom
crystal system: monoclinic
total magnetization: 0.0 μB per formula unit
N(E_F): 2.449 states/eV/f.u.
E_tot: -4.36 eV/atom